(1)
This record from Alexandria via LeMat-Bulk describes TbMg2Zr after structural relaxation. The functional is PBE-GGA.

Properties
E above lowest polymorph = 20.9 meV/atom
formation energy from the elements = 4 kJ/mol of atoms
space group = No. 225

Unit cell a=5.1670 b=5.1670 c=5.1670 alpha=60.00 beta=60.00 gamma=60.00
Element x y z (fractional)
Tb  0.0000  0.0000  0.0000
Mg  0.2500  0.2500  0.2500
Mg  0.7500  0.7500  0.7500
Zr  0.5000  0.5000  0.5000

=====

(2)
This record from Alexandria via LeMat-Bulk describes Ba2ReN4 after structural relaxation. The functional is PBE-GGA.

Properties
E above lowest polymorph = 68.8 meV/atom
space group = No. 42
energy relative to the elements, uncorrected = -0.424 eV/atom

Unit cell a=6.4504 b=6.4376 c=6.3613 alpha=60.52 beta=60.32 gamma=59.15
Element x y z (fractional)
Ba  0.0000  0.0000  0.5000
Ba  0.5000  0.5000  0.0000
Re  0.2506  0.2506  0.7494
N  0.1967  0.5319  0.8033
N  0.3048  0.9703  0.0297
N  0.5319  0.1967  0.4681
N  0.9703  0.3048  0.6952

=====

(3)
This record from Alexandria via LeMat-Bulk describes Y2ErRu3 after structural relaxation. The functional is PBE-GGA.

Properties
formation energy from the elements = -30 kJ/mol of atoms
space group = No. 65

Unit cell a=7.5866 b=7.5866 c=3.4096 alpha=90.00 beta=90.00 gamma=143.14
Element x y z (fractional)
Y  0.1663  0.8337  0.0000
Y  0.8337  0.1663  0.0000
Er  0.5000  0.5000  0.0000
Ru  0.0000  0.0000  0.5000
Ru  0.3356  0.6644  0.5000
Ru  0.6644  0.3356  0.5000

=====

(4)
This record from Alexandria via LeMat-Bulk describes CsRbTl2Br5 after structural relaxation. The functional is PBE-GGA.

Properties
space group = No. 123
energy relative to the elements, uncorrected = -1.158 eV/atom

Unit cell a=6.0185 b=6.0185 c=10.6031 alpha=90.00 beta=90.00 gamma=90.00
Element x y z (fractional)
Cs  0.0000  0.0000  0.0000
Rb  0.0000  0.0000  0.5000
Tl  0.5000  0.5000  0.2773
Tl  0.5000  0.5000  0.7227
Br  0.0000  0.5000  0.2981
Br  0.0000  0.5000  0.7019
Br  0.5000  0.0000  0.2981
Br  0.5000  0.0000  0.7019
Br  0.5000  0.5000  0.0000

=====

(5)
This record from Alexandria via LeMat-Bulk describes RbCd3Pt after structural relaxation. The functional is PBE-GGA.

Properties
E above lowest polymorph = 152.0 meV/atom
formation energy from the elements = -10 kJ/mol of atoms
space group = No. 227

Unit cell a=10.3361 b=10.3361 c=10.3361 alpha=60.00 beta=60.00 gamma=60.00
Element x y z (fractional)
Rb  0.0000  0.0000  0.0000
Rb  0.0000  0.0000  0.5000
Rb  0.0000  0.5000  0.0000
Rb  0.5000  0.0000  0.0000
Cd  0.2066  0.2066  0.5434
Cd  0.2066  0.5434  0.2066
Cd  0.2066  0.5434  0.5434
Cd  0.4566  0.4566  0.7934
Cd  0.4566  0.7934  0.4566
Cd  0.4566  0.7934  0.7934
Cd  0.5434  0.2066  0.2066
Cd  0.5434  0.2066  0.5434
Cd  0.5434  0.5434  0.2066
Cd  0.7934  0.4566  0.4566
Cd  0.7934  0.4566  0.7934
Cd  0.7934  0.7934  0.4566
Pt  0.0000  0.5000  0.5000
Pt  0.5000  0.0000  0.5000
Pt  0.5000  0.5000  0.0000
Pt  0.5000  0.5000  0.5000

=====

(6)
This record from Alexandria via LeMat-Bulk describes Fe6Br7 after structural relaxation. The functional is PBE-GGA.

Properties
space group = No. 166
energy relative to the elements, uncorrected = 0.518 eV/atom

Unit cell a=10.7214 b=10.7214 c=10.7214 alpha=39.93 beta=39.93 gamma=39.93
Element x y z (fractional)
Fe  0.0356  0.0356  0.0356
Fe  0.2400  0.2400  0.2400
Fe  0.3152  0.3152  0.3152
Fe  0.6848  0.6848  0.6848
Fe  0.7600  0.7600  0.7600
Fe  0.9644  0.9644  0.9644
Br  0.0763  0.5532  0.5532
Br  0.4468  0.4468  0.9237
Br  0.4468  0.9237  0.4468
Br  0.5000  0.5000  0.5000
Br  0.5532  0.0763  0.5532
Br  0.5532  0.5532  0.0763
Br  0.9237  0.4468  0.4468

=====

(7)
This record from Alexandria via LeMat-Bulk describes ErNiAs3 after structural relaxation. The functional is PBE-GGA.

Properties
formation energy from the elements = -64 kJ/mol of atoms
space group = No. 57

Unit cell a=11.7737 b=5.5982 c=5.5489 alpha=90.00 beta=90.00 gamma=90.00
Element x y z (fractional)
Er  0.1905  0.0008  0.2500
Er  0.1905  0.4992  0.7500
Er  0.8095  0.5008  0.2500
Er  0.8095  0.9992  0.7500
Ni  0.4073  0.7500  0.0000
Ni  0.4073  0.7500  0.5000
Ni  0.5927  0.2500  0.0000
Ni  0.5927  0.2500  0.5000
As  0.0021  0.7500  0.0000
As  0.0021  0.7500  0.5000
As  0.2781  0.0076  0.7500
As  0.2781  0.4924  0.2500
As  0.4393  0.1150  0.2500
As  0.4393  0.3850  0.7500
As  0.5607  0.6150  0.2500
As  0.5607  0.8850  0.7500
As  0.7219  0.5076  0.7500
As  0.7219  0.9924  0.2500
As  0.9979  0.2500  0.0000
As  0.9979  0.2500  0.5000

=====

(8)
This record from Alexandria via LeMat-Bulk describes MgHgPd3 after structural relaxation. The functional is PBE-GGA.

Properties
E above lowest polymorph = 58.3 meV/atom
formation energy from the elements = -34 kJ/mol of atoms
space group = No. 11

Unit cell a=4.6069 b=5.8329 c=6.8647 alpha=90.00 beta=109.60 gamma=90.00
Element x y z (fractional)
Mg  0.1267  0.2500  0.2523
Mg  0.8733  0.7500  0.7477
Hg  0.1232  0.7500  0.2469
Hg  0.8768  0.2500  0.7531
Pd  0.3152  0.5012  0.6308
Pd  0.3152  0.9988  0.6308
Pd  0.4982  0.7500  0.9984
Pd  0.5018  0.2500  0.0016
Pd  0.6848  0.0012  0.3692
Pd  0.6848  0.4988  0.3692

=====

(9)
This record from Alexandria via LeMat-Bulk describes Cs2ScAgBr6 after structural relaxation. The functional is PBE-GGA.

Properties
space group = No. 225
energy relative to the elements, uncorrected = -1.502 eV/atom

Unit cell a=7.8749 b=7.8749 c=7.8749 alpha=60.00 beta=60.00 gamma=60.00
Element x y z (fractional)
Cs  0.2500  0.2500  0.2500
Cs  0.7500  0.7500  0.7500
Sc  0.0000  0.0000  0.0000
Ag  0.5000  0.5000  0.5000
Br  0.2402  0.2402  0.7598
Br  0.2402  0.7598  0.2402
Br  0.2402  0.7598  0.7598
Br  0.7598  0.2402  0.2402
Br  0.7598  0.2402  0.7598
Br  0.7598  0.7598  0.2402

=====

(10)
This record from Alexandria via LeMat-Bulk describes Sr2InCu after structural relaxation. The functional is PBE-GGA.

Properties
formation energy from the elements = -1 kJ/mol of atoms
space group = No. 216

Unit cell a=5.3588 b=5.3588 c=5.3588 alpha=60.00 beta=60.00 gamma=60.00
Element x y z (fractional)
Sr  0.0000  0.0000  0.0000
Sr  0.2500  0.2500  0.2500
In  0.7500  0.7500  0.7500
Cu  0.5000  0.5000  0.5000

=====

(11)
This record from Alexandria via LeMat-Bulk describes Si3TcBi after structural relaxation. The functional is PBE-GGA.

Properties
E above lowest polymorph = 0.0 meV/atom
space group = No. 221
energy relative to the elements, uncorrected = 0.491 eV/atom

Unit cell a=4.7473 b=4.7473 c=4.7473 alpha=90.00 beta=90.00 gamma=90.00
Element x y z (fractional)
Si  0.0000  0.0000  0.5000
Si  0.0000  0.5000  0.0000
Si  0.5000  0.0000  0.0000
Tc  0.0000  0.0000  0.0000
Bi  0.5000  0.5000  0.5000

=====

(12)
This record from Alexandria via LeMat-Bulk describes Y2TmN after structural relaxation. The functional is PBE-GGA.

Properties
space group = No. 166
energy relative to the elements, uncorrected = -0.663 eV/atom

Unit cell a=9.5690 b=9.5690 c=9.5690 alpha=20.85 beta=20.85 gamma=20.85
Element x y z (fractional)
Y  0.1193  0.1193  0.1193
Y  0.8807  0.8807  0.8807
Tm  0.0000  0.0000  0.0000
N  0.5000  0.5000  0.5000